a | ## Tb3Se3S (GGA-PBE)

Data for an optimized crystal structure of Tb3Se3S.

abc: 8.552 11.889 7.424
angles: 90.00 90.54 90.00
Space group C2/m (No. 12)
Inequivalent atoms, fractional coordinates:
Tb (0.062, 0.000, 0.284) [4 per cell]
Tb (0.130, 0.349, 0.201) [8 per cell]
Se (0.000, 0.162, 0.000) [4 per cell]
Se (0.000, 0.230, 0.500) [4 per cell]
Se (0.137, 0.500, 0.867) [4 per cell]
S (0.236, 0.000, 0.595) [4 per cell]

Values from the calculation:
For the mass density, the calculation gives 6.562 g cm⁻³. Its total magnetization is 0.00 Bohr magnetons per cell. The value obtained for the calculated volume is 26.96 Å³ per atom.

***

b | ## Tb3Se3S (GGA-PBE)

Data for an optimized crystal structure of Tb3Se3S.

abc: 8.8195 8.8195 7.5164
angles: 90.00 90.00 120.00
Space group R3m (No. 160, hexagonal axes)
Inequivalent atoms, fractional coordinates:
Tb (0.1709, 0.3417, 0.0000) [9 per cell]
Se (0.2012, 0.4025, 0.3988) [9 per cell]
S (0.0000, 0.0000, 0.1535) [3 per cell]

Values from the calculation:
For the mass density, the calculation gives 7.337 g cm⁻³. Its total magnetization is 0.00 Bohr magnetons per cell. The value obtained for the calculated volume is 24.11 Å³ per atom.

***

Relative to the most stable one, in meV/atom, the structures come out at a 47; b 0.

***

a | ## Tb2SeS (GGA-PBE)

Data for an optimized crystal structure of Tb2SeS.

abc: 3.982 5.669 8.100
angles: 90.00 90.00 90.00
Space group Pmmn (No. 59, origin choice 2)
Inequivalent atoms, fractional coordinates:
Tb (0.250, 0.250, 0.113) [2 per cell]
Tb (0.250, 0.250, 0.643) [2 per cell]
Se (0.250, 0.750, 0.623) [2 per cell]
S (0.250, 0.750, 0.123) [2 per cell]

Values from the calculation:
For the mass density, the calculation gives 7.789 g cm⁻³. Its total magnetization is 0.00 Bohr magnetons per cell. The value obtained for the calculated volume is 22.86 Å³ per atom.

***

b | ## Tb2SeS (GGA-PBE)

Data for an optimized crystal structure of Tb2SeS.

abc: 3.9217 3.9217 20.7523
angles: 90.00 90.00 120.00
Space group R3m (No. 160, hexagonal axes)
Inequivalent atoms, fractional coordinates:
Tb (0.0000, 0.0000, 0.0000) [3 per cell]
Tb (0.0000, 0.0000, 0.1848) [3 per cell]
Se (0.0000, 0.0000, 0.7599) [3 per cell]
S (0.0000, 0.0000, 0.5905) [3 per cell]

Values from the calculation:
For the mass density, the calculation gives 7.730 g cm⁻³. Its total magnetization is 0.00 Bohr magnetons per cell. The value obtained for the calculated volume is 23.03 Å³ per atom.

***

Relative to the most stable one, in meV/atom, the structures come out at a 25; b 0.